*i*
# Rb2Na3Hg

Rb2Na3Hg after structural relaxation (PBE-GGA, the Alexandria database).

## Properties
Total magnetic moment ... 0.000 μB/f.u.
D(E_F) ... 3.370 states/eV per cell

```
data_Rb2Na3Hg
_symmetry_space_group_name_H-M 'P 1'
_symmetry_Int_Tables_number 1
_cell_length_a 7.1919
_cell_length_b 7.1919
_cell_length_c 7.1932
_cell_angle_alpha 118.89
_cell_angle_beta 118.89
_cell_angle_gamma 60.92
loop_
_symmetry_equiv_pos_as_xyz
'x,y,z'
loop_
_atom_site_label
_atom_site_fract_x
_atom_site_fract_y
_atom_site_fract_z
_atom_site_occupancy
Rb1 0.1282 0.1282 0.3834 1
Rb2 0.8718 0.8718 0.6166 1
Na1 0.0000 0.5000 0.0000 1
Na2 0.5000 0.0000 0.0000 1
Na3 0.5000 0.5000 0.0000 1
Hg1 0.5000 0.5000 0.5000 1
```


*ii*
# Rb2Na3Hg

Rb2Na3Hg after structural relaxation (PBE-GGA, the Alexandria database).

## Properties
Total magnetic moment ... 0.000 μB/f.u.
D(E_F) ... 2.216 states/eV per cell

```
data_Rb2Na3Hg
_symmetry_space_group_name_H-M 'P 1'
_symmetry_Int_Tables_number 1
_cell_length_a 5.9845
_cell_length_b 5.9845
_cell_length_c 9.1200
_cell_angle_alpha 90.00
_cell_angle_beta 90.00
_cell_angle_gamma 120.00
loop_
_symmetry_equiv_pos_as_xyz
'x,y,z'
loop_
_atom_site_label
_atom_site_fract_x
_atom_site_fract_y
_atom_site_fract_z
_atom_site_occupancy
Rb1 0.0000 0.0000 0.2332 1
Rb2 0.0000 0.0000 0.7668 1
Na1 0.3333 0.6667 0.5000 1
Na2 0.6667 0.3333 0.0000 1
Na3 0.6667 0.3333 0.5000 1
Hg1 0.3333 0.6667 0.0000 1
```


Most favorable structure: *i*. The second most favorable one is 30 meV/atom above it.